1.
# Pm2Si4SnPt3 (PBE, relaxed)
data_Pm2Si4SnPt3
_symmetry_space_group_name_H-M 'P -4 m 2'
_symmetry_Int_Tables_number 115
_cell_length_a 4.2996
_cell_length_b 4.2996
_cell_length_c 10.1726
_cell_angle_alpha 90.00
_cell_angle_beta 90.00
_cell_angle_gamma 90.00
loop_
_symmetry_equiv_pos_as_xyz
'x,y,z'
'y,-x,-z'
'-x,-y,z'
'-y,x,-z'
'-x,y,z'
'-y,-x,-z'
'x,-y,z'
'y,x,-z'
loop_
_atom_site_label
_atom_site_type_symbol
_atom_site_fract_x
_atom_site_fract_y
_atom_site_fract_z
Pm1 Pm 0.0000 0.5000 0.2373
Si1 Si 0.0000 0.0000 0.0000
Si2 Si 0.0000 0.5000 0.6530
Si3 Si 0.5000 0.5000 0.0000
Sn1 Sn 0.0000 0.0000 0.5000
Pt1 Pt 0.0000 0.5000 0.8856
Pt2 Pt 0.5000 0.5000 0.5000
# V, Å³/f.u.: 188.1
# Formation energy (no corrections), meV/atom: -897
# M_tot, μB per atom: 0.000
# Mass density, Mg/m³: 9.77
# Electronic total energy, eV per atom: -6.23

2.
# PmSi2Sn2Pt7 (PBE, relaxed)
data_PmSi2Sn2Pt7
_symmetry_space_group_name_H-M 'C 1 2/m 1'
_symmetry_Int_Tables_number 12
_cell_length_a 5.6112
_cell_length_b 5.6139
_cell_length_c 15.5099
_cell_angle_alpha 90.00
_cell_angle_beta 100.25
_cell_angle_gamma 90.00
loop_
_symmetry_equiv_pos_as_xyz
'x,y,z'
'-x,-y,-z'
'-x,y,-z'
'x,-y,z'
'x+1/2,y+1/2,z'
'-x+1/2,-y+1/2,-z'
'-x+1/2,y+1/2,-z'
'x+1/2,-y+1/2,z'
loop_
_atom_site_label
_atom_site_type_symbol
_atom_site_fract_x
_atom_site_fract_y
_atom_site_fract_z
Pm1 Pm 0.0000 0.0000 0.0000
Si1 Si 0.1177 0.5000 0.2393
Sn1 Sn 0.2109 0.0000 0.4229
Pt1 Pt 0.0000 0.5000 0.0000
Pt2 Pt 0.1759 0.2501 0.8490
Pt3 Pt 0.1963 0.5000 0.3925
# V, Å³/f.u.: 240.4
# Formation energy (no corrections), meV/atom: -652
# M_tot, μB per atom: 0.000
# Mass density, Mg/m³: 12.46
# Electronic total energy, eV per atom: -6.14

3.
# Pm2TaSi3Pt4 (PBE, relaxed)
data_Pm2TaSi3Pt4
_symmetry_space_group_name_H-M 'P -4 m 2'
_symmetry_Int_Tables_number 115
_cell_length_a 4.2648
_cell_length_b 4.2648
_cell_length_c 10.2516
_cell_angle_alpha 90.00
_cell_angle_beta 90.00
_cell_angle_gamma 90.00
loop_
_symmetry_equiv_pos_as_xyz
'x,y,z'
'y,-x,-z'
'-x,-y,z'
'-y,x,-z'
'-x,y,z'
'-y,-x,-z'
'x,-y,z'
'y,x,-z'
loop_
_atom_site_label
_atom_site_type_symbol
_atom_site_fract_x
_atom_site_fract_y
_atom_site_fract_z
Pm1 Pm 0.0000 0.5000 0.2421
Ta1 Ta 0.0000 0.0000 0.5000
Si1 Si 0.0000 0.5000 0.8716
Si2 Si 0.5000 0.5000 0.5000
Pt1 Pt 0.0000 0.0000 0.0000
Pt2 Pt 0.0000 0.5000 0.6380
Pt3 Pt 0.5000 0.5000 0.0000
# V, Å³/f.u.: 186.5
# Formation energy (no corrections), meV/atom: -996
# M_tot, μB per atom: 0.000
# Mass density, Mg/m³: 11.89
# Electronic total energy, eV per atom: -7.17

4.
# TbPmSiPt (PBE, relaxed)
data_TbPmSiPt
_symmetry_space_group_name_H-M 'F -4 3 m'
_symmetry_Int_Tables_number 216
_symmetry_space_group_name_Hall 'F -4 2 3'
_cell_length_a 7.1537
_cell_length_b 7.1537
_cell_length_c 7.1537
_cell_angle_alpha 90.00
_cell_angle_beta 90.00
_cell_angle_gamma 90.00
loop_
_atom_site_label
_atom_site_type_symbol
_atom_site_fract_x
_atom_site_fract_y
_atom_site_fract_z
Tb1 Tb 0.0000 0.0000 0.0000
Pm1 Pm 0.0000 0.0000 0.5000
Si1 Si 0.2500 0.2500 0.7500
Pt1 Pt 0.2500 0.2500 0.2500
# V, Å³/f.u.: 91.5
# Formation energy (no corrections), meV/atom: -791
# M_tot, μB per atom: 0.000
# Relative energy among the computed polymorphs, meV/atom: 201
# Mass density, Mg/m³: 9.56
# Electronic total energy, eV per atom: -6.00

5.
# TbPm2Si4Pt3 (PBE, relaxed)
data_TbPm2Si4Pt3
_symmetry_space_group_name_H-M 'P -4 m 2'
_symmetry_Int_Tables_number 115
_cell_length_a 4.2530
_cell_length_b 4.2530
_cell_length_c 10.8833
_cell_angle_alpha 90.00
_cell_angle_beta 90.00
_cell_angle_gamma 90.00
loop_
_symmetry_equiv_pos_as_xyz
'x,y,z'
'y,-x,-z'
'-x,-y,z'
'-y,x,-z'
'-x,y,z'
'-y,-x,-z'
'x,-y,z'
'y,x,-z'
loop_
_atom_site_label
_atom_site_type_symbol
_atom_site_fract_x
_atom_site_fract_y
_atom_site_fract_z
Tb1 Tb 0.0000 0.0000 0.0000
Pm1 Pm 0.0000 0.5000 0.7295
Si1 Si 0.0000 0.0000 0.5000
Si2 Si 0.0000 0.5000 0.1680
Si3 Si 0.5000 0.5000 0.5000
Pt1 Pt 0.0000 0.5000 0.3907
Pt2 Pt 0.5000 0.5000 0.0000
# V, Å³/f.u.: 196.9
# Formation energy (no corrections), meV/atom: -979
# M_tot, μB per atom: 0.000
# Mass density, Mg/m³: 9.67
# Electronic total energy, eV per atom: -6.37

6.
# TbPmSi2Pt5 (PBE, relaxed)
data_TbPmSi2Pt5
_symmetry_space_group_name_H-M 'P 4/m m m'
_symmetry_Int_Tables_number 123
_symmetry_space_group_name_Hall '-P 4 2'
_cell_length_a 4.2296
_cell_length_b 4.2296
_cell_length_c 8.9922
_cell_angle_alpha 90.00
_cell_angle_beta 90.00
_cell_angle_gamma 90.00
loop_
_atom_site_label
_atom_site_type_symbol
_atom_site_fract_x
_atom_site_fract_y
_atom_site_fract_z
Tb1 Tb 0.0000 0.0000 0.0000
Pm1 Pm 0.0000 0.0000 0.5000
Si1 Si 0.5000 0.5000 0.1316
Pt1 Pt 0.0000 0.5000 0.2610
Pt2 Pt 0.5000 0.5000 0.5000
# V, Å³/f.u.: 160.9
# Formation energy (no corrections), meV/atom: -1062
# M_tot, μB per atom: 0.000
# Mass density, Mg/m³: 13.79
# Electronic total energy, eV per atom: -6.67

Q: Which value of mass density does entry 2 give?
A: 12.46 Mg/m³

Q: Number 3 is which compound?
A: Pm2TaSi3Pt4

Q: Number 6 is which compound?
A: TbPmSi2Pt5

Repeat the sixth record exactly.
# TbPmSi2Pt5 (PBE, relaxed)
data_TbPmSi2Pt5
_symmetry_space_group_name_H-M 'P 4/m m m'
_symmetry_Int_Tables_number 123
_symmetry_space_group_name_Hall '-P 4 2'
_cell_length_a 4.2296
_cell_length_b 4.2296
_cell_length_c 8.9922
_cell_angle_alpha 90.00
_cell_angle_beta 90.00
_cell_angle_gamma 90.00
loop_
_atom_site_label
_atom_site_type_symbol
_atom_site_fract_x
_atom_site_fract_y
_atom_site_fract_z
Tb1 Tb 0.0000 0.0000 0.0000
Pm1 Pm 0.0000 0.0000 0.5000
Si1 Si 0.5000 0.5000 0.1316
Pt1 Pt 0.0000 0.5000 0.2610
Pt2 Pt 0.5000 0.5000 0.5000
# V, Å³/f.u.: 160.9
# Formation energy (no corrections), meV/atom: -1062
# M_tot, μB per atom: 0.000
# Mass density, Mg/m³: 13.79
# Electronic total energy, eV per atom: -6.67